# 1
## KPd3Pb3 (GGA-PBE)

Data for a geometry-optimized KPd3Pb3 structure.

Summary:
Offset from the most stable computed form: 0 meV per atom
Energy of formation from the pure elements: -150 meV/atom

abc: 7.5015 7.5015 9.4761
angles: 66.68 66.68 60.00
Last column: nearest neighbours and their distance in Å.
Element x y z (fractional)
Pd 0.2228 0.4650 0.6294  4 Pb 2.71-3.03, 4 Pd 2.78-2.99
Pd 0.7772 0.5350 0.3706  4 Pb 2.71-3.03, 4 Pd 2.78-2.99
Pd 0.4650 0.6828 0.6294  4 Pb 2.71-3.03, 4 Pd 2.78-2.99
Pd 0.5350 0.3172 0.3706  4 Pb 2.71-3.03, 4 Pd 2.78-2.99
Pd 0.6828 0.2228 0.6294  4 Pb 2.71-3.03, 4 Pd 2.78-2.99
Pd 0.3172 0.7772 0.3706  4 Pb 2.71-3.03, 4 Pd 2.78-2.99
Pb 0.0303 0.8620 0.6893  4 Pd 2.71-3.03
Pb 0.9697 0.1380 0.3107  4 Pd 2.71-3.03
Pb 0.4183 0.0303 0.6893  4 Pd 2.71-3.03
Pb 0.1380 0.5817 0.3107  4 Pd 2.71-3.03
Pb 0.8620 0.4183 0.6893  4 Pd 2.71-3.03
Pb 0.5817 0.9697 0.3107  4 Pd 2.71-3.03
K 0.6581 0.6581 0.0258  3 Pd 3.38, 3 Pb 3.70
K 0.3419 0.3419 0.9742  3 Pd 3.38, 3 Pb 3.70

# 2
## PmEuRuPt (GGA-PBE)

Data for a geometry-optimized PmEuRuPt structure.

Summary:
Energy of formation from the pure elements: -410 meV/atom

abc: 4.9903 4.9903 4.9903
angles: 60.00 60.00 60.00
Last column: nearest neighbours and their distance in Å.
Element x y z (fractional)
Eu 0.0000 0.0000 0.0000  4 Pt 3.06, 4 Ru 3.06
Pt 0.7500 0.7500 0.7500  4 Pm 3.06, 4 Eu 3.06
Ru 0.2500 0.2500 0.2500  4 Eu 3.06, 4 Pm 3.06
Pm 0.5000 0.5000 0.5000  4 Ru 3.06, 4 Pt 3.06

# 3
## SiHSe2Br (GGA-PBE)

Data for a geometry-optimized SiHSe2Br structure.

Summary:
Offset from the most stable computed form: 0 meV per atom

abc: 4.0327 4.0327 5.8705
angles: 90.00 90.00 90.00
Last column: nearest neighbours and their distance in Å.
Element x y z (fractional)
Se 0.0000 0.5000 0.0000  2 H 2.02
Se 0.5000 0.0000 0.0000  2 H 2.02
H 0.0000 0.0000 0.0000  4 Se 2.02
Si 0.5000 0.5000 0.5000  4 Br 2.85
Br 0.0000 0.0000 0.5000  4 Si 2.85, 2 H 2.94

# 4
## UTlPd2S4 (GGA-PBE)

Data for a geometry-optimized UTlPd2S4 structure.

Summary:
Formation energy (no corrections): -0.5253 eV/atom

abc: 6.7146 5.9219 5.9219
angles: 69.98 55.46 55.46
Last column: nearest neighbours and their distance in Å.
Element x y z (fractional)
S 0.0546 0.9490 0.4697  2 Pd 2.41-2.42
S 0.5267 0.4697 0.9490  2 Pd 2.41-2.42
S 0.9454 0.5303 0.0510  2 Pd 2.41-2.42
S 0.4733 0.0510 0.5303  2 Pd 2.41-2.42
Pd 0.7739 0.7261 0.7261  4 S 2.41-2.42
Pd 0.2261 0.2739 0.2739  4 S 2.41-2.42
U 0.5000 0.5000 0.5000  4 S 2.70
Tl 0.0000 0.0000 0.0000  8 S 2.90-3.05

# 5
## Ca2La15Dy2 (GGA-PBE)

Data for a geometry-optimized Ca2La15Dy2 structure.

Summary:
Energy of formation from the pure elements: 191 meV/atom

abc: 9.0754 9.0754 9.0754
angles: 81.08 81.08 81.08
Last column: nearest neighbours and their distance in Å.
Element x y z (fractional)
La 0.8518 0.3623 0.3623  6 La 3.46-3.53
La 0.3623 0.8518 0.3623  6 La 3.46-3.53
La 0.5000 0.0000 0.0000  8 La 3.47-3.49, 2 Dy 3.64
La 0.0000 0.7072 0.2928  6 La 3.45-3.53, 2 Dy 3.86
La 0.0000 0.2928 0.7072  6 La 3.45-3.53, 2 Dy 3.86
La 0.3623 0.3623 0.8518  6 La 3.46-3.53
La 0.6377 0.6377 0.1482  6 La 3.46-3.53
La 0.0000 0.5000 0.0000  8 La 3.47-3.49, 2 Dy 3.64
La 0.2928 0.7072 0.0000  6 La 3.45-3.53, 2 Dy 3.86
La 0.1482 0.6377 0.6377  6 La 3.46-3.53
La 0.7072 0.2928 0.0000  6 La 3.45-3.53, 2 Dy 3.86
La 0.2928 0.0000 0.7072  6 La 3.45-3.53, 2 Dy 3.86
La 0.7072 0.0000 0.2928  6 La 3.45-3.53, 2 Dy 3.86
La 0.6377 0.1482 0.6377  6 La 3.46-3.53
La 0.0000 0.0000 0.5000  8 La 3.47-3.49, 2 Dy 3.64
Dy 0.9048 0.9048 0.9048  1 Dy 3.43, 3 La 3.64
Dy 0.0952 0.0952 0.0952  1 Dy 3.43, 3 La 3.64
Ca 0.6702 0.6702 0.6702  15 La 4.19-4.50, 1 Dy 4.22
Ca 0.3298 0.3298 0.3298  15 La 4.19-4.50, 1 Dy 4.22

# 6
## Ce3Dy3HoTe8 (GGA-PBE)

Data for a geometry-optimized Ce3Dy3HoTe8 structure.

Summary:
Formation energy (no corrections): -1.3746 eV/atom

abc: 8.7987 8.7798 8.8418
angles: 119.77 90.00 119.93
Last column: nearest neighbours and their distance in Å.
Element x y z (fractional)
Te 0.2536 0.5072 0.2608  3 Dy 3.07, 3 Ce 3.16
Te 0.7488 0.4974 0.2562  2 Dy 3.07, 1 Ho 3.13, 2 Ce 3.17
Te 0.2587 0.0075 0.2564  2 Dy 3.07, 1 Ho 3.13, 2 Ce 3.17
Te 0.7413 0.9925 0.7436  2 Dy 3.07, 1 Ho 3.13, 2 Ce 3.17
Te 0.7464 0.4928 0.7392  3 Dy 3.07, 3 Ce 3.16
Te 0.7488 0.0075 0.2562  2 Dy 3.07, 1 Ho 3.13, 2 Ce 3.17
Te 0.2512 0.9925 0.7438  2 Dy 3.07, 1 Ho 3.13, 2 Ce 3.17
Te 0.2512 0.5026 0.7438  2 Dy 3.07, 1 Ho 3.13, 2 Ce 3.17
Ho 0.0000 0.0000 0.5000  6 Te 3.13
Ce 0.0000 0.0000 0.0000  6 Te 3.16-3.17
Ce 0.0000 0.5000 0.0000  6 Te 3.16-3.17
Ce 0.5000 0.5000 0.0000  6 Te 3.16-3.17
Dy 0.0000 0.5000 0.5000  6 Te 3.07
Dy 0.5000 0.5000 0.5000  6 Te 3.07
Dy 0.5000 0.0000 0.5000  6 Te 3.07

# 7
## CsGePd2 (GGA-PBE)

Data for a geometry-optimized CsGePd2 structure.

Summary:
Energy of formation from the pure elements: -324 meV/atom

abc: 4.3920 4.3920 7.0589
angles: 71.87 71.87 60.00
Last column: nearest neighbours and their distance in Å.
Element x y z (fractional)
Cs 0.5000 0.5000 0.5000  8 Pd 3.75-3.81, 6 Ge 4.16
Ge 0.0000 0.0000 0.0000  6 Pd 2.58
Pd 0.3104 0.3104 0.0688  3 Ge 2.58, 3 Pd 2.69
Pd 0.6896 0.6896 0.9312  3 Ge 2.58, 3 Pd 2.69

# 8
## Y2MnMo (GGA-PBE)

Data for a geometry-optimized Y2MnMo structure.

Summary:
Offset from the most stable computed form: 33 meV per atom
Energy of formation from the pure elements: 202 meV/atom

abc: 3.1684 3.1684 8.5818
angles: 90.00 90.00 89.98
Last column: nearest neighbours and their distance in Å.
Element x y z (fractional)
Mn 0.0000 0.0000 0.5514  4 Mo 2.53
Y 0.5000 0.5000 0.3181  4 Mn 3.00, 4 Y 3.17, 1 Mo 3.18
Y 0.0000 0.0000 0.9414  4 Mo 3.12, 4 Y 3.17, 1 Mn 3.35
Mo 0.5000 0.5000 0.6891  4 Mn 2.53